No. 1
{"formula": "K4Ru2Cl10O", "functional": "meta-GGA SCAN", "state": "single point on PBEsol structure", "mass_density_g_cm3": 2.8, "spacegroup": "I4/mmm, No. 139", "e_form_raw_ev_per_atom": -1.49, "cell": [[-3.547, 3.547, 8.444], [3.547, -3.547, 8.444], [3.547, 3.547, -8.444]], "species": ["K", "K", "K", "K", "Ru", "Ru", "Cl", "Cl", "Cl", "Cl", "Cl", "Cl", "Cl", "Cl", "Cl", "Cl", "O"], "frac_coords": [[0.000, 0.500, 0.500], [0.250, 0.750, 0.500], [0.500, 0.000, 0.500], [0.750, 0.250, 0.500], [0.106, 0.106, 0.000], [0.894, 0.894, 0.000], [0.121, 0.121, 0.470], [0.121, 0.651, 0.000], [0.242, 0.242, 0.000], [0.349, 0.349, 0.470], [0.349, 0.879, 0.000], [0.651, 0.121, 0.000], [0.651, 0.651, 0.530], [0.758, 0.758, 0.000], [0.879, 0.349, 0.000], [0.879, 0.879, 0.530], [0.000, 0.000, 0.000]]}

No. 2
{"formula": "Na3TcPb", "functional": "meta-GGA SCAN", "state": "single point on PBEsol structure", "e_form_ev_per_atom": 1.14, "mass_density_g_cm3": 3.8, "spacegroup": "Pm-3m, No. 221", "cell": [[5.453, 0.000, 0.000], [0.000, 5.453, 0.000], [0.000, 0.000, 5.453]], "species": ["Na", "Na", "Na", "Tc", "Pb"], "frac_coords": [[0.000, 0.000, 0.500], [0.000, 0.500, 0.000], [0.500, 0.000, 0.000], [0.000, 0.000, 0.000], [0.500, 0.500, 0.500]]}

No. 3
{"formula": "Ga3OsO", "functional": "meta-GGA SCAN", "state": "single point on PBEsol structure", "mass_density_g_cm3": 10.1, "spacegroup": "Pm-3m, No. 221", "e_form_raw_ev_per_atom": 0.12, "cell": [[4.083, 0.000, 0.000], [0.000, 4.083, 0.000], [0.000, 0.000, 4.083]], "species": ["Ga", "Ga", "Ga", "Os", "O"], "frac_coords": [[0.000, 0.000, 0.500], [0.000, 0.500, 0.000], [0.500, 0.000, 0.000], [0.500, 0.500, 0.500], [0.000, 0.000, 0.000]]}

Repeat the first record exactly.
{"formula": "K4Ru2Cl10O", "functional": "meta-GGA SCAN", "state": "single point on PBEsol structure", "mass_density_g_cm3": 2.8, "spacegroup": "I4/mmm, No. 139", "e_form_raw_ev_per_atom": -1.49, "cell": [[-3.547, 3.547, 8.444], [3.547, -3.547, 8.444], [3.547, 3.547, -8.444]], "species": ["K", "K", "K", "K", "Ru", "Ru", "Cl", "Cl", "Cl", "Cl", "Cl", "Cl", "Cl", "Cl", "Cl", "Cl", "O"], "frac_coords": [[0.000, 0.500, 0.500], [0.250, 0.750, 0.500], [0.500, 0.000, 0.500], [0.750, 0.250, 0.500], [0.106, 0.106, 0.000], [0.894, 0.894, 0.000], [0.121, 0.121, 0.470], [0.121, 0.651, 0.000], [0.242, 0.242, 0.000], [0.349, 0.349, 0.470], [0.349, 0.879, 0.000], [0.651, 0.121, 0.000], [0.651, 0.651, 0.530], [0.758, 0.758, 0.000], [0.879, 0.349, 0.000], [0.879, 0.879, 0.530], [0.000, 0.000, 0.000]]}